Below is a relaxed Na3GaAu3 crystal, with properties calculated at the PBE level.

abc: 6.287 6.287 8.511
angles: 91.31 91.31 100.21
Element x y z (fractional)
Au (0.158, 0.158, 0.847)
Au (0.021, 0.495, 0.259)
Au (0.979, 0.505, 0.741)
Au (0.505, 0.979, 0.741)
Au (0.495, 0.021, 0.259)
Au (0.842, 0.842, 0.153)
Na (0.473, 0.473, 0.684)
Na (0.159, 0.841, 0.500)
Na (0.841, 0.159, 0.500)
Na (0.718, 0.282, 0.000)
Na (0.282, 0.718, 0.000)
Na (0.527, 0.527, 0.316)
Ga (0.164, 0.164, 0.162)
Ga (0.836, 0.836, 0.838)

Calculated values
Magnetic moment in μB/cell: 0.00
Formation enthalpy at 0 K in kcal/mol of atoms: -6.35
Space-group type: No. 12
Distance to the lowest polymorph of the same formula in kJ/mol of formula units: 21.4

---

Below is a relaxed RbLiAsPt crystal, with properties calculated at the PBE level.

abc: 4.365 4.365 6.700
angles: 70.99 70.99 60.00
Element x y z (fractional)
As (0.621, 0.621, 0.136)
Pt (0.296, 0.296, 0.112)
Rb (0.814, 0.814, 0.559)
Li (0.995, 0.995, 0.015)

Calculated values
Magnetic moment in μB/cell: 0.00
Formation enthalpy at 0 K in kcal/mol of atoms: -12.25
Space-group type: No. 160